# 1
Mg2TeBr | PBE-GGA | optimized geometry

Summary:
VASP energy, eV per formula unit: -9.83
DOS(E_F), states/eV/cell: 1.93
Spin magnetization, μB/cell: 0.00
Distance to the lowest polymorph of the same formula, eV/atom: 0.261

Unit cell a=3.455 b=3.455 c=10.208 alpha=90.00 beta=90.00 gamma=105.47
Element x y z (fractional)
Mg 0.000 0.000 0.000
Mg 0.500 0.500 0.246
Te 0.000 0.000 0.442
Br 0.500 0.500 0.843

# 2
MgTeBr2 | PBE-GGA | optimized geometry

Summary:
VASP energy, eV per formula unit: -10.60
DOS(E_F), states/eV/cell: 1.64
Spin magnetization, μB/cell: 0.00
Distance to the lowest polymorph of the same formula, eV/atom: 0.211

Unit cell a=6.951 b=6.951 c=6.725 alpha=108.00 beta=108.00 gamma=28.32
Element x y z (fractional)
Mg 0.000 0.000 0.000
Te 0.296 0.296 0.957
Br 0.443 0.443 0.681
Br 0.618 0.618 0.245

# 3
MgTeBr | PBE-GGA | optimized geometry

Summary:
VASP energy, eV per formula unit: -8.54
DOS(E_F), states/eV/cell: 0.84
Spin magnetization, μB/cell: 0.00
Distance to the lowest polymorph of the same formula, eV/atom: 0.176

Unit cell a=8.868 b=8.587 c=3.570 alpha=82.65 beta=73.82 gamma=23.53
Element x y z (fractional)
Mg 0.000 0.000 0.000
Te 0.627 0.627 0.373
Br 0.399 0.399 0.601

# 4
MgTeBr2 | PBE-GGA | optimized geometry

Summary:
VASP energy, eV per formula unit: -9.30
DOS(E_F), states/eV/cell: 1.70
Spin magnetization, μB/cell: 0.00
Distance to the lowest polymorph of the same formula, eV/atom: 0.535

Unit cell a=4.279 b=4.279 c=6.668 alpha=90.00 beta=90.00 gamma=90.00
Element x y z (fractional)
Mg 0.000 0.000 0.000
Te 0.500 0.500 0.229
Br 0.000 0.000 0.611
Br 0.500 0.500 0.838

# 5
MgTeBr2 | PBE-GGA | optimized geometry

Summary:
VASP energy, eV per formula unit: -11.44
DOS(E_F), states/eV/cell: 0.75
Spin magnetization, μB/cell: 0.39
Distance to the lowest polymorph of the same formula, eV/atom: 0.000

Unit cell a=14.373 b=14.373 c=14.373 alpha=14.47 beta=14.47 gamma=14.47
Element x y z (fractional)
Mg 0.000 0.000 0.000
Te 0.500 0.500 0.500
Br 0.296 0.296 0.296
Br 0.704 0.704 0.704

# 6
Mg2TeBr | PBE-GGA | optimized geometry

Summary:
VASP energy, eV per formula unit: -9.78
DOS(E_F), states/eV/cell: 1.45
Spin magnetization, μB/cell: 0.00
Distance to the lowest polymorph of the same formula, eV/atom: 0.273

Unit cell a=3.391 b=3.391 c=9.929 alpha=90.00 beta=90.00 gamma=90.00
Element x y z (fractional)
Mg 0.000 0.000 0.000
Mg 0.500 0.500 0.247
Te 0.000 0.000 0.447
Br 0.500 0.500 0.848

# 7
MgTeBr2 | PBE-GGA | optimized geometry

Summary:
VASP energy, eV per formula unit: -10.03
DOS(E_F), states/eV/cell: 3.76
Spin magnetization, μB/cell: 0.66
Distance to the lowest polymorph of the same formula, eV/atom: 0.354

Unit cell a=9.687 b=9.687 c=9.687 alpha=22.88 beta=22.88 gamma=22.88
Element x y z (fractional)
Mg 0.000 0.000 0.000
Te 0.260 0.260 0.260
Br 0.513 0.513 0.513
Br 0.719 0.719 0.719

# 8
Mg2Te2Br | PBE-GGA | optimized geometry

Summary:
VASP energy, eV per formula unit: -14.26
DOS(E_F), states/eV/cell: 2.81
Spin magnetization, μB/cell: 0.00
Distance to the lowest polymorph of the same formula, eV/atom: 0.000

Unit cell a=6.558 b=6.558 c=6.558 alpha=132.56 beta=132.56 gamma=69.34
Element x y z (fractional)
Mg 0.250 0.750 0.500
Mg 0.750 0.250 0.500
Te 0.147 0.147 0.000
Te 0.853 0.853 0.000
Br 0.500 0.500 0.000

# 9
ThMgBr | PBE-GGA | optimized geometry

Summary:
VASP energy, eV per formula unit: -12.07
DOS(E_F), states/eV/cell: 6.51
Spin magnetization, μB/cell: 0.00

Unit cell a=16.564 b=3.556 c=3.556 alpha=59.98 beta=90.00 gamma=90.00
Element x y z (fractional)
Th 0.177 0.000 0.000
Th 0.823 0.000 0.000
Mg 0.000 0.667 0.667
Mg 0.500 0.728 0.728
Br 0.315 0.332 0.332
Br 0.685 0.332 0.332

# 10
ThMgBr6 | PBE-GGA | optimized geometry

Summary:
VASP energy, eV per formula unit: -31.79
DOS(E_F), states/eV/cell: 0.00
Spin magnetization, μB/cell: 0.00

Unit cell a=7.686 b=7.686 c=6.896 alpha=97.97 beta=97.97 gamma=126.68
Element x y z (fractional)
Th 0.000 0.000 0.000
Mg 0.500 0.500 0.500
Br 0.127 0.405 0.264
Br 0.251 0.251 0.746
Br 0.405 0.127 0.264
Br 0.595 0.873 0.736
Br 0.749 0.749 0.254
Br 0.873 0.595 0.736

# 11
MgTi3Br | PBE-GGA | optimized geometry

Summary:
VASP energy, eV per formula unit: -24.75
DOS(E_F), states/eV/cell: 6.60
Spin magnetization, μB/cell: 0.00
Distance to the lowest polymorph of the same formula, eV/atom: 0.000

Unit cell a=4.713 b=4.713 c=4.713 alpha=90.00 beta=90.00 gamma=90.00
Element x y z (fractional)
Mg 0.000 0.000 0.000
Ti 0.000 0.500 0.500
Ti 0.500 0.000 0.500
Ti 0.500 0.500 0.000
Br 0.500 0.500 0.500

# 12
MgTi3Br | PBE-GGA | optimized geometry

Summary:
VASP energy, eV per formula unit: -20.56
DOS(E_F), states/eV/cell: 4.52
Spin magnetization, μB/cell: 4.04
Distance to the lowest polymorph of the same formula, eV/atom: 0.838

Unit cell a=4.988 b=4.988 c=4.988 alpha=90.00 beta=90.00 gamma=90.00
Element x y z (fractional)
Mg 0.000 0.000 0.000
Ti 0.000 0.000 0.500
Ti 0.000 0.500 0.000
Ti 0.500 0.000 0.000
Br 0.500 0.500 0.500

no.,ΔE_f (raw) (eV per atom)
1,-0.46
2,-0.63
3,-0.71
4,-0.31
5,-0.84
6,-0.44
7,-0.49
8,-0.62
9,-0.46
10,-1.59
11,0.44
12,1.28